# 1
DFT (PBE) results for crystalline AgSn2Rh at its relaxed geometry.

## Properties
Its calculated density is 9222 kg/m3. As for the energy of formation from the pure elements: -0.088 eV per atom. The volume comes out at 80.7 Å³/f.u. The calculation puts the total energy at -18.56 eV/cell. For the polymorph energy (0 for the lowest one), the calculation gives 0 meV per atom. The density of states at the Fermi level is 3.50 states/eV/f.u.

a b c (Å): 3.3125 3.3125 7.3547
angles (deg): 90.00 90.00 90.00
Last column: nearest neighbours and their distance in Å.
Atoms (fractional coordinates):
Ag  0.0000  0.0000  0.0000  8 Sn 3.12, 4 Ag 3.31
Sn  0.5000  0.5000  0.2801  4 Rh 2.85, 4 Ag 3.12
Sn  0.5000  0.5000  0.7199  4 Rh 2.85, 4 Ag 3.12
Rh  0.0000  0.0000  0.5000  8 Sn 2.85

# 2
DFT (PBE) results for crystalline Tb12Ge3N5 at its relaxed geometry.

## Properties
Its calculated density is 8069 kg/m3. The volume comes out at 451.7 Å³/f.u. The calculation puts the total energy at -523.74 eV/cell. The density of states at the Fermi level is 11.16 states/eV/f.u.

a b c (Å): 13.2898 13.2898 13.2898
angles (deg): 109.47 109.47 109.47
Last column: nearest neighbours and their distance in Å.
Atoms (fractional coordinates):
Tb  0.0196  0.2029  0.1158  2 N 2.24-2.49
Tb  0.0196  0.3167  0.9039  2 N 2.24-2.49
Tb  0.0871  0.7029  0.6833  2 N 2.24-2.49
Tb  0.0871  0.8842  0.4039  2 N 2.24-2.49
Tb  0.0961  0.6158  0.4129  2 N 2.24-2.49
Tb  0.0961  0.9804  0.6833  2 N 2.24-2.49
Tb  0.1158  0.0196  0.2029  2 N 2.24-2.49
Tb  0.1158  0.5961  0.9129  2 N 2.24-2.49
Tb  0.1833  0.2029  0.5871  2 N 2.24-2.49
Tb  0.1833  0.4804  0.5961  2 N 2.24-2.49
Tb  0.2029  0.1158  0.0196  2 N 2.24-2.49
Tb  0.2029  0.5871  0.1833  2 N 2.24-2.49
Tb  0.2971  0.3167  0.9129  2 N 2.24-2.49
Tb  0.2971  0.4804  0.3842  2 N 2.24-2.49
Tb  0.3167  0.9039  0.0196  2 N 2.24-2.49
Tb  0.3167  0.9129  0.2971  2 N 2.24-2.49
Tb  0.3842  0.2971  0.4804  2 N 2.24-2.49
Tb  0.3842  0.5871  0.9039  2 N 2.24-2.49
Tb  0.4039  0.0871  0.8842  2 N 2.24-2.49
Tb  0.4039  0.8167  0.5196  2 N 2.24-2.49
Tb  0.4129  0.0961  0.6158  2 N 2.24-2.49
Tb  0.4129  0.8167  0.7971  2 N 2.24-2.49
Tb  0.4804  0.3842  0.2971  2 N 2.24-2.49
Tb  0.4804  0.5961  0.1833  2 N 2.24-2.49
Tb  0.5196  0.4039  0.8167  2 N 2.24-2.49
Tb  0.5196  0.6158  0.7029  2 N 2.24-2.49
Tb  0.5871  0.1833  0.2029  2 N 2.24-2.49
Tb  0.5871  0.9039  0.3842  2 N 2.24-2.49
Tb  0.5961  0.1833  0.4804  2 N 2.24-2.49
Tb  0.5961  0.9129  0.1158  2 N 2.24-2.49
Tb  0.6158  0.4129  0.0961  2 N 2.24-2.49
Tb  0.6158  0.7029  0.5196  2 N 2.24-2.49
Tb  0.6833  0.0871  0.7029  2 N 2.24-2.49
Tb  0.6833  0.0961  0.9804  2 N 2.24-2.49
Tb  0.7029  0.5196  0.6158  2 N 2.24-2.49
Tb  0.7029  0.6833  0.0871  2 N 2.24-2.49
Tb  0.7971  0.4129  0.8167  2 N 2.24-2.49
Tb  0.7971  0.8842  0.9804  2 N 2.24-2.49
Tb  0.8167  0.5196  0.4039  2 N 2.24-2.49
Tb  0.8167  0.7971  0.4129  2 N 2.24-2.49
Tb  0.8842  0.4039  0.0871  2 N 2.24-2.49
Tb  0.8842  0.9804  0.7971  2 N 2.24-2.49
Tb  0.9039  0.0196  0.3167  2 N 2.24-2.49
Tb  0.9039  0.3842  0.5871  2 N 2.24-2.49
Tb  0.9129  0.1158  0.5961  2 N 2.24-2.49
Tb  0.9129  0.2971  0.3167  2 N 2.24-2.49
Tb  0.9804  0.6833  0.0961  2 N 2.24-2.49
Tb  0.9804  0.7971  0.8842  2 N 2.24-2.49
Ge  0.1250  0.2500  0.3750  8 Tb 3.00-3.08
Ge  0.1250  0.3750  0.7500  8 Tb 3.00-3.08
Ge  0.2500  0.3750  0.1250  8 Tb 3.00-3.08
Ge  0.2500  0.8750  0.6250  8 Tb 3.00-3.08
Ge  0.3750  0.1250  0.2500  8 Tb 3.00-3.08
Ge  0.3750  0.7500  0.1250  8 Tb 3.00-3.08
Ge  0.6250  0.2500  0.8750  8 Tb 3.00-3.08
Ge  0.6250  0.8750  0.7500  8 Tb 3.00-3.08
Ge  0.7500  0.1250  0.3750  8 Tb 3.00-3.08
Ge  0.7500  0.6250  0.8750  8 Tb 3.00-3.08
Ge  0.8750  0.6250  0.2500  8 Tb 3.00-3.08
Ge  0.8750  0.7500  0.6250  8 Tb 3.00-3.08
N  0.0000  0.0000  0.0000  6 Tb 2.49
N  0.0000  0.0000  0.5000  6 Tb 2.49
N  0.0000  0.5000  0.0000  6 Tb 2.49
N  0.0000  0.5000  0.5000  6 Tb 2.49
N  0.1250  0.7500  0.8750  4 Tb 2.24
N  0.1250  0.8750  0.2500  4 Tb 2.24
N  0.2500  0.1250  0.8750  4 Tb 2.24
N  0.2500  0.6250  0.3750  4 Tb 2.24
N  0.3750  0.2500  0.6250  4 Tb 2.24
N  0.3750  0.6250  0.7500  4 Tb 2.24
N  0.5000  0.0000  0.0000  6 Tb 2.49
N  0.5000  0.0000  0.5000  6 Tb 2.49
N  0.5000  0.5000  0.0000  6 Tb 2.49
N  0.5000  0.5000  0.5000  6 Tb 2.49
N  0.6250  0.3750  0.2500  4 Tb 2.24
N  0.6250  0.7500  0.3750  4 Tb 2.24
N  0.7500  0.3750  0.6250  4 Tb 2.24
N  0.7500  0.8750  0.1250  4 Tb 2.24
N  0.8750  0.1250  0.7500  4 Tb 2.24
N  0.8750  0.2500  0.1250  4 Tb 2.24

# 3
DFT (PBE) results for crystalline Li2Ge2As at its relaxed geometry.

## Properties
Its calculated density is 4493 kg/m3. As for the energy of formation from the pure elements: -0.104 eV per atom. The volume comes out at 86.5 Å³/f.u. The calculation puts the total energy at -36.46 eV/cell. The density of states at the Fermi level is 1.57 states/eV/f.u.

a b c (Å): 7.3387 7.3387 3.2129
angles (deg): 90.00 90.00 90.00
Last column: nearest neighbours and their distance in Å.
Atoms (fractional coordinates):
Li  0.1796  0.3204  0.0000  6 Ge 2.60-2.77
Li  0.3204  0.8204  0.0000  6 Ge 2.60-2.77
Li  0.6796  0.1796  0.0000  6 Ge 2.60-2.77
Li  0.8204  0.6796  0.0000  6 Ge 2.60-2.77
Ge  0.1228  0.6228  0.5000  1 Ge 2.55, 6 Li 2.60-2.77
Ge  0.3772  0.1228  0.5000  1 Ge 2.55, 6 Li 2.60-2.77
Ge  0.6228  0.8772  0.5000  1 Ge 2.55, 6 Li 2.60-2.77
Ge  0.8772  0.3772  0.5000  1 Ge 2.55, 6 Li 2.60-2.77
As  0.0000  0.0000  0.5000  4 Ge 2.91, 8 Li 3.14, 2 As 3.21
As  0.5000  0.5000  0.5000  4 Ge 2.91, 8 Li 3.14, 2 As 3.21

# 4
DFT (PBE) results for crystalline DyV5 at its relaxed geometry.

## Properties
Its calculated density is 7239 kg/m3. As for the energy of formation from the pure elements: 0.339 eV per atom. The volume comes out at 95.7 Å³/f.u. The calculation puts the total energy at -96.32 eV/cell. The density of states at the Fermi level is 9.09 states/eV/f.u.

a b c (Å): 4.5766 13.3793 3.1259
angles (deg): 90.00 90.00 90.00
Last column: nearest neighbours and their distance in Å.
Atoms (fractional coordinates):
Dy  0.0000  0.0000  0.0000  8 V 2.77-3.00
Dy  0.5000  0.5000  0.0000  8 V 2.77-3.00
V  0.0000  0.1911  0.5000  2 V 2.42
V  0.0000  0.3292  0.0000  2 V 2.42
V  0.0000  0.5000  0.5000  4 V 2.77, 4 Dy 2.77
V  0.0000  0.6708  0.0000  2 V 2.42
V  0.0000  0.8089  0.5000  2 V 2.42
V  0.5000  0.0000  0.5000  4 V 2.77, 4 Dy 2.77
V  0.5000  0.1708  0.0000  2 V 2.42
V  0.5000  0.3089  0.5000  2 V 2.42
V  0.5000  0.6911  0.5000  2 V 2.42
V  0.5000  0.8292  0.0000  2 V 2.42

# 5
DFT (PBE) results for crystalline CrTcCl2 at its relaxed geometry.

## Properties
Its calculated density is 4250 kg/m3. The volume comes out at 86.3 Å³/f.u. The calculation puts the total energy at -46.26 eV/cell. For the polymorph energy (0 for the lowest one), the calculation gives 329 meV per atom. The density of states at the Fermi level is 3.61 states/eV/f.u.

a b c (Å): 13.1298 2.9615 4.4839
angles (deg): 90.00 98.04 90.00
Last column: nearest neighbours and their distance in Å.
Atoms (fractional coordinates):
Cr  0.0000  0.0000  0.0000  4 Cl 2.38
Cr  0.5000  0.5000  0.0000  4 Cl 2.38
Tc  0.0000  0.5000  0.5000  2 Cl 2.37
Tc  0.5000  0.0000  0.5000  2 Cl 2.37
Cl  0.1343  0.5000  0.1978  1 Tc 2.37, 2 Cr 2.38
Cl  0.3657  0.0000  0.8022  1 Tc 2.37, 2 Cr 2.38
Cl  0.6343  0.0000  0.1978  1 Tc 2.37, 2 Cr 2.38
Cl  0.8657  0.5000  0.8022  1 Tc 2.37, 2 Cr 2.38

# 6
DFT (PBE) results for crystalline NiSn4Ir at its relaxed geometry.

## Properties
Its calculated density is 9365 kg/m3. As for the energy of formation from the pure elements: -0.228 eV per atom. The volume comes out at 128.7 Å³/f.u. The calculation puts the total energy at -32.02 eV/cell. For the polymorph energy (0 for the lowest one), the calculation gives 0 meV per atom. The density of states at the Fermi level is 3.05 states/eV/f.u.

a b c (Å): 4.5102 4.5102 6.3260
angles (deg): 90.00 90.00 90.00
Last column: nearest neighbours and their distance in Å.
Atoms (fractional coordinates):
Ni  0.0000  0.0000  0.0000  8 Sn 2.73
Sn  0.0000  0.5000  0.2443  2 Ni 2.73, 2 Ir 2.78
Sn  0.0000  0.5000  0.7557  2 Ni 2.73, 2 Ir 2.78
Sn  0.5000  0.0000  0.2443  2 Ni 2.73, 2 Ir 2.78
Sn  0.5000  0.0000  0.7557  2 Ni 2.73, 2 Ir 2.78
Ir  0.5000  0.5000  0.5000  8 Sn 2.78

# 7
DFT (PBE) results for crystalline Cd3Sn2Hg3 at its relaxed geometry.

## Properties
Its calculated density is 9763 kg/m3. As for the energy of formation from the pure elements: 0.054 eV per atom. The volume comes out at 200.1 Å³/f.u. The calculation puts the total energy at -22.45 eV/cell. For the polymorph energy (0 for the lowest one), the calculation gives 8 meV per atom. The density of states at the Fermi level is 3.62 states/eV/f.u.

a b c (Å): 4.4022 4.5375 20.0336
angles (deg): 90.00 90.00 90.00
Last column: nearest neighbours and their distance in Å.
Atoms (fractional coordinates):
Cd  0.0000  0.0000  0.0000  8 Hg 3.16-3.26, 4 Cd 3.29
Cd  0.0000  0.5000  0.1187  6 Hg 3.16-3.24, 2 Cd 3.29, 2 Sn 3.32
Cd  0.0000  0.5000  0.8813  6 Hg 3.16-3.24, 2 Cd 3.29, 2 Sn 3.32
Cd  0.5000  0.0000  0.3813  6 Hg 3.16-3.24, 2 Cd 3.29, 2 Sn 3.32
Cd  0.5000  0.0000  0.6187  6 Hg 3.16-3.24, 2 Cd 3.29, 2 Sn 3.32
Cd  0.5000  0.5000  0.5000  8 Hg 3.16-3.26, 4 Cd 3.29
Sn  0.0000  0.0000  0.2394  4 Sn 3.19, 2 Hg 3.25, 2 Cd 3.32
Sn  0.0000  0.0000  0.7606  4 Sn 3.19, 2 Hg 3.25, 2 Cd 3.32
Sn  0.5000  0.5000  0.2606  4 Sn 3.19, 2 Hg 3.25, 2 Cd 3.32
Sn  0.5000  0.5000  0.7394  4 Sn 3.19, 2 Hg 3.25, 2 Cd 3.32
Hg  0.0000  0.0000  0.5000  8 Cd 3.16-3.24, 4 Hg 3.30
Hg  0.0000  0.5000  0.3802  6 Cd 3.16-3.26, 2 Sn 3.25, 2 Hg 3.30
Hg  0.0000  0.5000  0.6198  6 Cd 3.16-3.26, 2 Sn 3.25, 2 Hg 3.30
Hg  0.5000  0.0000  0.1198  6 Cd 3.16-3.26, 2 Sn 3.25, 2 Hg 3.30
Hg  0.5000  0.0000  0.8802  6 Cd 3.16-3.26, 2 Sn 3.25, 2 Hg 3.30
Hg  0.5000  0.5000  0.0000  8 Cd 3.16-3.24, 4 Hg 3.30

# 8
DFT (PBE) results for crystalline SrTcN3 at its relaxed geometry.

## Properties
Its calculated density is 5339 kg/m3. The volume comes out at 70.8 Å³/f.u. The calculation puts the total energy at -72.56 eV/cell. The density of states at the Fermi level is 1.17 states/eV/f.u.

a b c (Å): 11.9929 11.9929 11.9929
angles (deg): 163.35 163.35 23.63
Last column: nearest neighbours and their distance in Å.
Atoms (fractional coordinates):
Sr  0.0000  0.0000  0.0000  4 N 2.58
Sr  0.7500  0.2500  0.5000  4 N 2.46
Tc  0.1309  0.6309  0.5000  6 N 2.03-2.19
Tc  0.3691  0.8691  0.5000  6 N 2.03-2.19
N  0.3241  0.3241  0.0000  2 Tc 2.03
N  0.4163  0.0992  0.3170  1 N 1.27
N  0.6759  0.6759  0.0000  2 Tc 2.03
N  0.7822  0.0992  0.6830  1 N 1.27
N  0.9008  0.2178  0.3170  1 N 1.27
N  0.9008  0.5837  0.6830  1 N 1.27